Record 1
Computed, not measured: a PBEsol-optimized structure of Cd2Ag3 at the SCAN level of DFT.

Computed properties:
- total DFT energy (no corrections) (eV/cell) = -155.2
- space-group type = C2/m (12)
- E above lowest polymorph (kJ/mol of formula units) = 0
- magnetization (μB per cell) = 0.00
- Fermi-level density of states (states/eV/cell) = 1.334
- formation energy from the elements (eV per atom) = -0.06

Cell lengths 4.145, 4.988, 5.140 Å; angles 78.70, 66.22, 65.45 degrees
Fractional positions:
Ag: 0.500 0.000 0.000
Cd: 0.905 0.393 0.797
Cd: 0.095 0.607 0.203
Ag: 0.701 0.199 0.399
Ag: 0.299 0.801 0.601

Record 2
Computed, not measured: a PBEsol-optimized structure of Cd3Ag5 at the SCAN level of DFT.

Computed properties:
- total DFT energy (no corrections) (eV/cell) = -495.4
- space-group type = P6_3/mcm (193)
- E above lowest polymorph (kJ/mol of formula units) = 84
- magnetization (μB per cell) = 0.00
- Fermi-level density of states (states/eV/cell) = 5.683
- formation energy from the elements (eV per atom) = 0.05

Cell lengths 5.358, 7.966, 7.966 Å; angles 120.00, 90.00, 90.00 degrees
Fractional positions:
Ag: 0.750 0.787 0.787
Ag: 0.250 0.787 0.000
Cd: 0.750 0.402 0.402
Ag: 0.750 0.000 0.213
Cd: 0.250 0.402 0.000
Ag: 0.250 0.213 0.213
Ag: 0.000 0.333 0.667
Ag: 0.500 0.667 0.333
Ag: 0.500 0.333 0.667
Cd: 0.250 0.598 0.598
Cd: 0.750 0.000 0.598
Cd: 0.250 0.000 0.402
Ag: 0.250 0.000 0.787
Ag: 0.750 0.213 0.000
Ag: 0.000 0.667 0.333
Cd: 0.750 0.598 0.000